<P>
This record from Alexandria via LeMat-Bulk describes crystalline Tb3Nd2Zn2 at its relaxed geometry. The functional is PBE-GGA.

Computed properties:
Symmetry   Cmmm (65)

Lattice parameters (Å, degrees): 3.6541 30.4874 3.5727 90.00 90.00 90.00
With the nearest neighbours (Å) after each atom.
Fractional positions:
Tb: 0.0000 0.0000 0.0000  12 Tb 3.57-3.65
Tb: 0.0000 0.4177 0.5000  4 Zn 3.07
Tb: 0.0000 0.5823 0.5000  4 Zn 3.07
Tb: 0.5000 0.0823 0.5000  4 Zn 3.07
Tb: 0.5000 0.5000 0.0000  12 Tb 3.57-3.65
Tb: 0.5000 0.9177 0.5000  4 Zn 3.07
Nd: 0.0000 0.3007 0.5000  4 Zn 3.17
Nd: 0.0000 0.6993 0.5000  4 Zn 3.17
Nd: 0.5000 0.1993 0.5000  4 Zn 3.17
Nd: 0.5000 0.8007 0.5000  4 Zn 3.17
Zn: 0.0000 0.1380 0.0000  4 Tb 3.07, 4 Nd 3.17
Zn: 0.0000 0.8620 0.0000  4 Tb 3.07, 4 Nd 3.17
Zn: 0.5000 0.3620 0.0000  4 Tb 3.07, 4 Nd 3.17
Zn: 0.5000 0.6380 0.0000  4 Tb 3.07, 4 Nd 3.17


<Q>
This record from Alexandria via LeMat-Bulk describes crystalline Tb3Nd2Zn2 at its relaxed geometry. The functional is PBE-GGA.

Computed properties:
Symmetry   C2/m (12)

Lattice parameters (Å, degrees): 11.6245 4.7546 8.1752 90.00 117.07 90.00
With the nearest neighbours (Å) after each atom.
Fractional positions:
Tb: 0.0000 0.0000 0.0000  4 Zn 2.91
Tb: 0.1346 0.0000 0.4653  1 Zn 2.83
Tb: 0.3654 0.5000 0.5347  1 Zn 2.83
Tb: 0.5000 0.5000 0.0000  4 Zn 2.91
Tb: 0.6346 0.5000 0.4653  1 Zn 2.83
Tb: 0.8654 0.0000 0.5347  1 Zn 2.83
Nd: 0.1368 0.5000 0.7937  4 Zn 3.21-3.45, 2 Tb 3.58
Nd: 0.3632 0.0000 0.2063  4 Zn 3.21-3.45, 2 Tb 3.58
Nd: 0.6368 0.0000 0.7937  4 Zn 3.21-3.45, 2 Tb 3.58
Nd: 0.8632 0.5000 0.2063  4 Zn 3.21-3.45, 2 Tb 3.58
Zn: 0.1429 0.5000 0.1903  3 Tb 2.83-2.91
Zn: 0.3571 0.0000 0.8097  3 Tb 2.83-2.91
Zn: 0.6429 0.0000 0.1903  3 Tb 2.83-2.91
Zn: 0.8571 0.5000 0.8097  3 Tb 2.83-2.91


Which is most stable? The ranking, best first, is <P>, <Q>.


<P>
This record from Alexandria via LeMat-Bulk describes crystalline TbNd4Zn at its relaxed geometry. The functional is PBE-GGA.

Computed properties:
Symmetry   P4/mmm (123)

Lattice parameters (Å, degrees): 3.6680 3.6680 13.9959 90.00 90.00 90.00
With the nearest neighbours (Å) after each atom.
Fractional positions:
Tb: 0.0000 0.0000 0.0000  8 Nd 3.62, 4 Tb 3.67
Nd: 0.0000 0.0000 0.3686  4 Zn 3.18
Nd: 0.0000 0.0000 0.6314  4 Zn 3.18
Nd: 0.5000 0.5000 0.1805  4 Tb 3.62, 8 Nd 3.67-3.70
Nd: 0.5000 0.5000 0.8195  4 Tb 3.62, 8 Nd 3.67-3.70
Zn: 0.5000 0.5000 0.5000  8 Nd 3.18


<Q>
This record from Alexandria via LeMat-Bulk describes crystalline TbNd4Zn at its relaxed geometry. The functional is PBE-GGA.

Computed properties:
Symmetry   C2/c (15)

Lattice parameters (Å, degrees): 8.2490 8.2490 6.4080 100.14 100.14 113.38
With the nearest neighbours (Å) after each atom.
Fractional positions:
Tb: 0.0929 0.9071 0.7500  8 Nd 3.40-3.62
Tb: 0.9071 0.0929 0.2500  8 Nd 3.40-3.62
Nd: 0.1100 0.3331 0.8753  2 Zn 3.26, 2 Tb 3.40-3.60, 3 Nd 3.42-3.64
Nd: 0.2139 0.5787 0.4495  2 Zn 3.11-3.12, 2 Nd 3.42-3.47
Nd: 0.3331 0.1100 0.3753  2 Zn 3.26, 2 Tb 3.40-3.60, 3 Nd 3.42-3.64
Nd: 0.4213 0.7861 0.0505  2 Zn 3.11-3.12, 2 Nd 3.42-3.47
Nd: 0.5787 0.2139 0.9495  2 Zn 3.11-3.12, 2 Nd 3.42-3.47
Nd: 0.6669 0.8900 0.6247  2 Zn 3.26, 2 Tb 3.40-3.60, 3 Nd 3.42-3.64
Nd: 0.7861 0.4213 0.5505  2 Zn 3.11-3.12, 2 Nd 3.42-3.47
Nd: 0.8900 0.6669 0.1247  2 Zn 3.26, 2 Tb 3.40-3.60, 3 Nd 3.42-3.64
Zn: 0.4994 0.5006 0.7500  8 Nd 3.11-3.26, 2 Zn 3.20
Zn: 0.5006 0.4994 0.2500  8 Nd 3.11-3.26, 2 Zn 3.20


Which is most stable? The ranking, best first, is <P>, <Q>.